No. 1
! Na3BN, optimized geometry, DFT GGA-PBEsol; values from VASP
&SYSTEM
  ibrav = 0, nat = 5, ntyp = 3
/
ATOMIC_SPECIES
Na 22.99 Na.upf
N 14.01 N.upf
B 10.81 B.upf
CELL_PARAMETERS angstrom
-2.901 -3.503 -2.095
-1.230 -1.700 4.546
-3.892 3.149 0.125
ATOMIC_POSITIONS angstrom
Na -0.615 -0.850 2.273
Na -1.451 -1.751 -1.047
Na -1.946 1.574 0.062
N -4.011 -1.027 1.288
B 0.000 0.000 0.000
! DOS(E_F): 4.392 states/eV/f.u.
! ΔE_f (raw): 151.95 kJ per mole of atoms
! total magnetic moment: 3.4 μB/f.u.
! space-group type: Pm-3m

No. 2
! NaBN2, optimized geometry, DFT GGA-PBEsol; values from VASP
&SYSTEM
  ibrav = 0, nat = 8, ntyp = 3
/
ATOMIC_SPECIES
N 14.01 N.upf
B 10.81 B.upf
Na 22.99 Na.upf
CELL_PARAMETERS angstrom
-0.187 3.852 -1.268
-3.984 -0.412 -0.662
1.254 -0.386 5.141
ATOMIC_POSITIONS angstrom
N -1.308 2.372 0.174
N -3.279 1.735 -0.015
N -0.893 1.941 2.778
N -0.354 0.061 3.486
B -0.510 2.593 1.454
B -2.086 1.720 -0.965
Na 0.000 0.000 0.000
Na -2.408 0.461 1.757
! DOS(E_F): 0.228 states/eV/f.u.
! ΔE_f (raw): -14.79 kJ per mole of atoms
! total magnetic moment: 0.0 μB/f.u.
! space-group type: I-42d

No. 3
! NaSr4B3N6, optimized geometry, DFT GGA-PBEsol; values from VASP
&SYSTEM
  ibrav = 0, nat = 14, ntyp = 4
/
ATOMIC_SPECIES
Sr 87.62 Sr.upf
N 14.01 N.upf
Na 22.99 Na.upf
B 10.81 B.upf
CELL_PARAMETERS angstrom
-4.922 -1.799 3.831
5.620 -1.780 2.717
-0.091 6.446 -0.756
ATOMIC_POSITIONS angstrom
Sr -0.046 3.223 -0.378
Sr 0.303 1.433 2.896
Sr -2.461 -0.900 1.915
Sr 2.810 -0.890 1.359
N -3.407 3.158 2.089
N 0.224 -1.147 2.098
N 1.772 1.495 0.628
N 3.757 3.171 1.333
N 0.474 -2.432 4.450
N -1.606 1.489 0.985
Na 0.000 0.000 0.000
B -2.507 2.324 1.537
B 0.349 -1.790 3.274
B 2.764 2.333 0.981
! DOS(E_F): 0.000 states/eV/f.u.
! ΔE_f (raw): -109.76 kJ per mole of atoms
! total magnetic moment: 0.0 μB/f.u.
! space-group type: Im-3m

No. 4
! NbBN2, optimized geometry, DFT GGA-PBEsol; values from VASP
&SYSTEM
  ibrav = 0, nat = 4, ntyp = 3
/
ATOMIC_SPECIES
B 10.81 B.upf
Nb 92.91 Nb.upf
N 14.01 N.upf
CELL_PARAMETERS angstrom
-0.227 2.564 1.030
-1.497 1.907 -1.345
-5.176 -0.079 2.789
ATOMIC_POSITIONS angstrom
B -3.449 2.196 1.237
Nb 0.000 0.000 0.000
N -3.355 3.915 0.711
N -3.544 0.478 1.762
! DOS(E_F): 2.475 states/eV/f.u.
! ΔE_f (raw): 59.99 kJ per mole of atoms
! total magnetic moment: 0.0 μB/f.u.
! space-group type: R-3m

No. 5
! Nb3BN, optimized geometry, DFT GGA-PBEsol; values from VASP
&SYSTEM
  ibrav = 0, nat = 5, ntyp = 3
/
ATOMIC_SPECIES
N 14.01 N.upf
B 10.81 B.upf
Nb 92.91 Nb.upf
CELL_PARAMETERS angstrom
-1.417 3.845 -0.492
-2.611 -1.333 -2.905
-2.865 -0.686 2.890
ATOMIC_POSITIONS angstrom
N 0.000 0.000 0.000
B -3.446 0.913 -0.253
Nb -1.432 -0.343 1.445
Nb -0.708 1.923 -0.246
Nb -1.306 -0.667 -1.452
! DOS(E_F): 7.825 states/eV/f.u.
! ΔE_f (raw): 1.03 kJ per mole of atoms
! total magnetic moment: 0.0 μB/f.u.
! space-group type: Pm-3m

No. 6
! NbBS2N, optimized geometry, DFT GGA-PBEsol; values from VASP
&SYSTEM
  ibrav = 0, nat = 5, ntyp = 4
/
ATOMIC_SPECIES
B 10.81 B.upf
S 32.06 S.upf
N 14.01 N.upf
Nb 92.91 Nb.upf
CELL_PARAMETERS angstrom
-2.432 0.733 0.823
-1.185 -4.750 0.730
1.665 0.300 4.652
ATOMIC_POSITIONS angstrom
B 0.000 0.000 0.000
S 0.833 0.150 2.326
S -0.593 -2.375 0.365
N -1.216 0.367 0.412
Nb -0.976 -1.858 3.103
! DOS(E_F): 2.983 states/eV/f.u.
! ΔE_f (raw): 15.67 kJ per mole of atoms
! total magnetic moment: 0.0 μB/f.u.
! space-group type: P4/mmm

No. 7
! Nd3B2N4, optimized geometry, DFT GGA-PBEsol; values from VASP
&SYSTEM
  ibrav = 0, nat = 9, ntyp = 3
/
ATOMIC_SPECIES
B 10.81 B.upf
N 14.01 N.upf
Nd 144.24 Nd.upf
CELL_PARAMETERS angstrom
3.505 0.000 0.000
0.000 6.248 0.000
-1.752 -3.124 5.378
ATOMIC_POSITIONS angstrom
B 1.752 2.227 0.000
B 1.752 4.021 0.000
N 1.752 4.733 1.286
N 1.752 1.515 1.286
N 0.000 1.609 4.092
N 0.000 -1.609 4.092
Nd 0.000 3.124 2.167
Nd 0.000 0.000 0.000
Nd 1.752 0.000 3.211
! DOS(E_F): 1.355 states/eV/f.u.
! ΔE_f (raw): -139.38 kJ per mole of atoms
! total magnetic moment: 0.0 μB/f.u.
! space-group type: Immm

No. 8
! NdBN2, optimized geometry, DFT GGA-PBEsol; values from VASP
&SYSTEM
  ibrav = 0, nat = 24, ntyp = 3
/
ATOMIC_SPECIES
Nd 144.24 Nd.upf
N 14.01 N.upf
B 10.81 B.upf
CELL_PARAMETERS angstrom
6.858 0.000 0.000
-2.286 6.973 0.000
2.286 3.486 6.039
ATOMIC_POSITIONS angstrom
Nd 0.572 8.238 3.295
Nd 1.715 4.752 2.744
Nd 4.001 3.486 0.552
Nd 6.287 2.221 2.744
Nd 5.144 5.707 3.295
Nd 2.858 6.973 5.487
N 7.430 6.021 4.575
N 7.430 3.486 4.555
N 2.858 5.688 0.742
N 5.144 1.285 0.742
N 4.001 3.486 3.112
N -0.572 4.438 1.463
N 1.715 2.535 1.463
N 1.715 9.174 5.297
N 2.858 6.973 2.927
N 5.144 7.924 4.575
N 4.001 4.772 5.297
N -0.572 6.973 1.484
B 2.858 6.973 1.450
B 1.715 1.255 0.725
B 7.430 4.742 5.314
B 4.001 3.486 4.589
B 5.144 9.204 5.314
B -0.572 5.717 0.725
! DOS(E_F): 0.000 states/eV/f.u.
! ΔE_f (raw): -142.65 kJ per mole of atoms
! total magnetic moment: 0.0 μB/f.u.
! space-group type: R-3c